(1)
LiY2Ir | PBE-GGA | relaxed

Lattice parameters (Å, degrees): 4.0653 4.0653 16.0307 90.00 90.00 120.00
Space group P6_3/mmc (No. 194)
One atom of each set of equivalent atoms:
Li 0.3333 0.6667 0.2500 (multiplicity 2)
Y 0.3333 0.6667 0.5901 (multiplicity 4)
Ir 0.0000 0.0000 0.0000 (multiplicity 2)

Properties
E   -0.4599 Ry per atom
Spin magnetization   0.0001 μB per atom

(2)
ZrCoBiPt | PBE-GGA | relaxed

Lattice parameters (Å, degrees): 6.6881 6.6881 6.6881 90.00 90.00 90.00
Space group F-43m (No. 216)
One atom of each set of equivalent atoms:
Zr 0.0000 0.0000 0.0000 (multiplicity 4)
Co 0.2500 0.2500 0.7500 (multiplicity 4)
Bi 0.0000 0.0000 0.5000 (multiplicity 4)
Pt 0.2500 0.2500 0.2500 (multiplicity 4)

Properties
E   -0.4862 Ry per atom
Spin magnetization   0.1972 μB per atom

(3)
Pm4PCl5 | PBE-GGA | relaxed

Lattice parameters (Å, degrees): 17.7951 3.9955 8.2123 90.00 104.30 90.00
Space group C2/m (No. 12)
One atom of each set of equivalent atoms:
Pm 0.9997 0.0000 0.2286 (multiplicity 4)
Pm 0.1549 0.5000 0.0900 (multiplicity 4)
P 0.0000 0.5000 0.0000 (multiplicity 2)
Cl 0.0000 0.5000 0.5000 (multiplicity 2)
Cl 0.1662 0.0000 0.3366 (multiplicity 4)
Cl 0.1714 0.0000 0.8475 (multiplicity 4)

Properties
E   -0.3874 Ry per atom
Spin magnetization   0.0003 μB per atom

(4)
NpZn | PBE-GGA | relaxed

Lattice parameters (Å, degrees): 2.9010 4.6399 5.3938 90.00 90.00 90.00
Space group Pmmn (No. 59, origin choice 2)
One atom of each set of equivalent atoms:
Np 0.2500 0.2500 0.0025 (multiplicity 2)
Zn 0.2500 0.7500 0.4970 (multiplicity 2)

Properties
Energy of formation   13 kJ/mol of formula units
E   -0.5106 Ry per atom
Spin magnetization   1.3910 μB per atom

(5)
NdHo2Si4Au4 | PBE-GGA | relaxed

Lattice parameters (Å, degrees): 4.1824 4.2391 25.1748 90.00 90.00 90.00
Space group Immm (No. 71)
One atom of each set of equivalent atoms:
Nd 0.0000 0.0000 0.0000 (multiplicity 2)
Ho 0.0000 0.5000 0.1480 (multiplicity 4)
Si 0.0000 0.0000 0.4528 (multiplicity 4)
Si 0.0000 0.5000 0.3093 (multiplicity 4)
Au 0.0000 0.0000 0.2515 (multiplicity 4)
Au 0.0000 0.5000 0.4043 (multiplicity 4)

Properties
E   -0.3771 Ry per atom
Spin magnetization   0.0006 μB per atom

(6)
Ba2NpN3 | PBE-GGA | relaxed

Lattice parameters (Å, degrees): 10.7217 7.1884 6.3934 90.00 90.00 90.00
Space group Cmcm (No. 63)
One atom of each set of equivalent atoms:
Ba 0.1650 0.1498 0.2500 (multiplicity 8)
Np 0.0000 0.4085 0.7500 (multiplicity 4)
N 0.0000 0.1235 0.7500 (multiplicity 4)
N 0.1296 0.5000 0.0000 (multiplicity 8)

Properties
E   -0.5691 Ry per atom
Spin magnetization   0.3328 μB per atom